# 1
{"formula": "Cs8O2F", "functional": "PBE-GGA", "state": "optimized geometry", "cell": [[9.736, 0.000, 4.297], [4.054, 11.582, 3.992], [-0.009, 0.349, 13.199]], "species": ["Cs", "Cs", "Cs", "Cs", "Cs", "Cs", "Cs", "Cs", "Cs", "Cs", "Cs", "Cs", "Cs", "Cs", "Cs", "Cs", "O", "O", "O", "O", "F", "F"], "fractional_positions": [[0.425, 0.741, 0.552], [0.129, 0.952, 0.206], [0.729, 0.933, 0.176], [0.162, 0.224, 0.502], [0.271, 0.067, 0.824], [0.888, 0.276, 0.998], [0.838, 0.776, 0.498], [0.162, 0.433, 0.676], [0.112, 0.724, 0.002], [0.719, 0.759, 0.948], [0.713, 0.452, 0.706], [0.287, 0.548, 0.294], [0.281, 0.241, 0.052], [0.838, 0.567, 0.324], [0.575, 0.259, 0.448], [0.871, 0.048, 0.794], [0.859, 0.874, 0.975], [0.293, 0.374, 0.475], [0.707, 0.626, 0.525], [0.141, 0.126, 0.025], [0.992, 0.750, 0.250], [0.008, 0.250, 0.750]]}

# 2
{"formula": "Cs3OF", "functional": "PBE-GGA", "state": "optimized geometry", "cell": [[-7.634, -0.556, 0.718], [-0.444, -9.633, -1.484], [0.063, -2.508, 9.429]], "species": ["Cs", "Cs", "Cs", "Cs", "Cs", "Cs", "Cs", "Cs", "Cs", "Cs", "Cs", "Cs", "O", "O", "O", "O", "F", "F", "F", "F"], "fractional_positions": [[0.635, 0.808, 0.947], [0.865, 0.053, 0.192], [0.365, 0.192, 0.053], [0.135, 0.947, 0.808], [0.923, 0.362, 0.890], [0.577, 0.110, 0.638], [0.077, 0.638, 0.110], [0.423, 0.890, 0.362], [0.801, 0.702, 0.582], [0.699, 0.418, 0.298], [0.199, 0.298, 0.418], [0.301, 0.582, 0.702], [0.986, 0.671, 0.830], [0.514, 0.170, 0.329], [0.014, 0.329, 0.170], [0.486, 0.830, 0.671], [0.250, 0.909, 0.091], [0.750, 0.091, 0.909], [0.250, 0.263, 0.737], [0.750, 0.737, 0.263]], "e_above_lowest_polymorph_ev_per_atom": 0.004}

# 3
{"formula": "Cs6OF2", "functional": "PBE-GGA", "state": "optimized geometry", "cell": [[-0.787, -3.781, -2.518], [4.154, -2.635, 6.880], [-12.264, 0.006, 3.822]], "species": ["Cs", "Cs", "Cs", "Cs", "Cs", "Cs", "O", "F", "F"], "fractional_positions": [[0.118, 0.236, 0.706], [0.147, 0.295, 0.139], [0.853, 0.705, 0.861], [0.403, 0.806, 0.568], [0.597, 0.194, 0.432], [0.882, 0.764, 0.294], [0.000, 0.000, 0.500], [0.299, 0.597, 0.729], [0.701, 0.403, 0.271]]}

# 4
{"formula": "Cs2O4F", "functional": "PBE-GGA", "state": "optimized geometry", "cell": [[-1.086, 0.117, -6.262], [6.187, -4.559, -1.158], [-4.513, -6.293, 0.665]], "species": ["Cs", "Cs", "Cs", "Cs", "O", "O", "O", "O", "O", "O", "O", "O", "F", "F"], "fractional_positions": [[0.000, 0.259, 0.741], [0.000, 0.741, 0.259], [0.500, 0.759, 0.759], [0.500, 0.241, 0.241], [0.000, 0.156, 0.273], [0.000, 0.844, 0.727], [0.500, 0.227, 0.656], [0.500, 0.773, 0.344], [0.500, 0.344, 0.773], [0.500, 0.656, 0.227], [0.000, 0.273, 0.156], [0.000, 0.727, 0.844], [0.500, 0.000, 0.000], [0.000, 0.500, 0.500]]}

# 5
{"formula": "Cs2O2F", "functional": "PBE-GGA", "state": "optimized geometry", "cell": [[-2.995, -4.885, -5.350], [-5.027, -2.767, 5.341], [-2.604, 2.731, -1.036]], "species": ["Cs", "Cs", "Cs", "Cs", "O", "O", "O", "O", "F", "F"], "fractional_positions": [[0.219, 0.719, 0.500], [0.719, 0.781, 0.500], [0.781, 0.281, 0.500], [0.281, 0.219, 0.500], [0.439, 0.939, 0.000], [0.939, 0.561, 0.000], [0.561, 0.061, 0.000], [0.061, 0.439, 0.000], [0.000, 0.000, 0.000], [0.500, 0.500, 0.000]]}

# 6
{"formula": "CsOsO2F", "functional": "PBE-GGA", "state": "optimized geometry", "cell": [[-3.299, 1.623, -2.609], [-1.189, -4.204, -1.113], [-3.261, -0.145, 4.033]], "species": ["Cs", "Os", "O", "O", "F"], "fractional_positions": [[0.000, 0.000, 0.000], [0.500, 0.500, 0.500], [0.000, 0.500, 0.000], [0.500, 0.000, 0.000], [0.000, 0.000, 0.500]]}

# 7
{"formula": "Cs2OsO2F4", "functional": "PBE-GGA", "state": "optimized geometry", "cell": [[5.128, -0.423, -0.287], [0.638, 6.268, 0.344], [0.638, 2.622, 5.704]], "species": ["Cs", "Cs", "Os", "O", "O", "F", "F", "F", "F"], "fractional_positions": [[0.201, 0.664, 0.664], [0.799, 0.336, 0.336], [0.500, 0.000, 0.000], [0.283, 0.128, 0.128], [0.717, 0.872, 0.872], [0.298, 0.692, 0.147], [0.702, 0.853, 0.308], [0.702, 0.308, 0.853], [0.298, 0.147, 0.692]]}

# 8
{"formula": "Cs2OsOF6", "functional": "PBE-GGA", "state": "optimized geometry", "cell": [[6.629, 0.000, 0.000], [0.000, 6.629, 0.000], [3.314, 3.314, 4.914]], "species": ["Cs", "Cs", "Os", "O", "F", "F", "F", "F", "F", "F"], "fractional_positions": [[0.750, 0.250, 0.500], [0.250, 0.750, 0.500], [0.000, 0.000, 0.000], [0.500, 0.500, 0.000], [0.199, 0.199, 0.603], [0.801, 0.801, 0.397], [0.209, 0.209, 0.000], [0.791, 0.791, 0.000], [0.791, 0.209, 0.000], [0.209, 0.791, 0.000]]}

Here are the calculated spin magnetization numbers, same order: 0.000 0.093 0.000 3.000 1.000 5.244 0.008 4.000 (μB/f.u.).
Here are the calculated energy relative to the elements, uncorrected numbers, same order: -1020.8 -1611.6 -1450.5 -1076.0 -1469.4 1384.9 -2052.6 -1774.3 (meV per atom).
Here are the calculated energy numbers, same order: -2.71 -3.49 -2.99 -4.42 -4.17 -3.39 -5.42 -4.69 (eV per atom).